Record 1
Density functional theory data (PBE) for a relaxed structure of Pm2TcSn8.

Cell and atoms, written as POSCAR:
```
Pm2TcSn8
1.0
-4.384 -0.545 -1.804
0.160 -4.659 1.020
-4.835 2.257 11.069
Pm Tc Sn
2 1 8
Cartesian
-1.470 0.686 3.365 Pm
-3.365 1.571 7.704 Pm
0.000 0.000 0.000 Tc
-2.337 -1.201 6.045 Sn
-4.610 0.856 4.633 Sn
-3.610 -1.903 3.037 Sn
-5.449 -1.045 7.248 Sn
-0.507 -2.056 1.855 Sn
-2.780 0.001 0.443 Sn
-4.167 -0.347 10.235 Sn
-6.439 1.710 8.823 Sn
```

Output
**Space-group type**: No. 123
**DFT total energy**: -5.070 eV per atom



Record 2
Density functional theory data (PBE) for a relaxed structure of Pm12TcSn6.

Cell and atoms, written as POSCAR:
```
Pm12TcSn6
1.0
8.824 -0.037 -0.044
-1.374 8.716 -0.044
-1.374 -1.601 8.568
Pm Tc Sn
12 1 6
Cartesian
5.725 4.263 3.685 Pm
1.963 6.093 4.853 Pm
3.346 2.499 6.863 Pm
0.350 2.815 4.794 Pm
4.112 0.985 3.626 Pm
2.729 4.579 1.617 Pm
-1.330 8.074 2.655 Pm
-2.107 4.450 8.094 Pm
4.718 8.215 0.060 Pm
7.405 -0.996 5.824 Pm
8.183 2.628 0.386 Pm
1.357 -1.137 8.419 Pm
0.000 0.000 0.000 Tc
4.386 7.040 3.009 Sn
5.057 2.485 1.015 Sn
-0.219 5.083 2.626 Sn
1.689 0.038 5.470 Sn
1.018 4.593 7.465 Sn
6.294 1.995 5.853 Sn
```

Output
**Space-group type**: No. 148
**DFT total energy**: -5.164 eV per atom



Record 3
Density functional theory data (PBE) for a relaxed structure of Pm8TcSn2.

Cell and atoms, written as POSCAR:
```
Pm8TcSn2
1.0
-5.234 -0.498 -2.093
2.584 -3.339 -5.666
0.481 -5.188 7.679
Pm Tc Sn
8 1 2
Cartesian
-0.019 -6.106 1.498 Pm
-0.925 -4.506 -4.264 Pm
-1.840 -6.254 -1.561 Pm
-4.114 -6.509 4.186 Pm
-0.329 -2.771 1.481 Pm
-1.244 -4.519 4.184 Pm
-2.150 -2.919 -1.579 Pm
1.946 -2.516 -4.267 Pm
-2.617 -0.249 -1.047 Tc
-3.146 -4.711 1.338 Sn
0.978 -4.314 -1.418 Sn
```

Output
**Space-group type**: No. 71
**DFT total energy**: -5.416 eV per atom



Record 4
Density functional theory data (PBE) for a relaxed structure of PmThTcSn.

Cell and atoms, written as POSCAR:
```
PmThTcSn
1.0
5.248 0.000 0.000
2.624 4.545 0.000
2.624 1.515 4.285
Tc Sn Th Pm
1 1 1 1
Cartesian
7.872 4.545 3.214 Tc
2.624 1.515 1.071 Sn
0.000 0.000 0.000 Th
5.248 3.030 2.143 Pm
```

Output
**Space-group type**: No. 216
**DFT total energy**: -6.735 eV per atom



Record 5
Density functional theory data (PBE) for a relaxed structure of Pm6Sn3Te.

Cell and atoms, written as POSCAR:
```
Pm6Sn3Te
1.0
7.737 0.000 0.000
0.000 9.574 -0.097
0.000 -2.231 9.311
Pm Sn Te
12 6 2
Cartesian
1.151 5.502 5.861 Pm
5.020 4.486 6.671 Pm
1.805 2.315 8.373 Pm
5.673 7.646 4.125 Pm
1.974 -2.230 9.311 Pm
4.943 0.795 6.900 Pm
1.075 6.548 2.315 Pm
5.843 9.573 -0.096 Pm
1.805 -0.302 5.089 Pm
5.673 5.028 0.841 Pm
1.151 2.857 2.544 Pm
5.020 1.842 3.353 Pm
3.749 7.337 6.588 Sn
7.618 4.785 8.622 Sn
2.741 2.712 5.372 Sn
6.609 4.631 3.843 Sn
7.618 0.007 2.626 Sn
3.749 2.558 0.593 Sn
0.028 -0.252 7.734 Te
3.897 7.596 1.480 Te
```

Output
**Space-group type**: No. 36
**Raw formation energy**: -622.9 meV/atom
**DFT total energy**: -4.988 eV per atom



Record 6
Density functional theory data (PBE) for a relaxed structure of PmSnTe3.

Cell and atoms, written as POSCAR:
```
PmSnTe3
1.0
-2.627 3.032 2.151
1.700 -3.984 7.694
12.306 9.209 2.049
Pm Sn Te
4 4 12
Cartesian
5.003 0.199 8.239 Pm
6.377 8.059 3.655 Pm
9.291 7.611 7.846 Pm
2.089 0.647 4.048 Pm
7.308 3.324 6.649 Sn
4.072 4.934 5.245 Sn
0.195 -0.596 8.305 Sn
11.184 8.853 3.589 Sn
1.812 4.161 3.574 Te
12.626 7.315 7.519 Te
1.024 1.790 1.136 Te
4.812 1.996 5.473 Te
5.859 4.880 2.687 Te
6.567 6.261 6.421 Te
9.519 6.688 4.607 Te
10.356 6.468 10.758 Te
-1.246 0.943 4.375 Te
1.861 1.569 7.287 Te
5.521 3.378 9.207 Te
9.568 4.096 8.321 Te
```

Output
**Space-group type**: No. 62
**Raw formation energy**: -766.0 meV/atom
**Distance to the lowest polymorph of the same formula**: 0 kJ/mol of formula units
**DFT total energy**: -4.402 eV per atom



Record 7
Density functional theory data (PBE) for a relaxed structure of Pm3SnTe6.

Cell and atoms, written as POSCAR:
```
Pm3SnTe6
1.0
7.590 0.000 0.000
0.000 9.811 0.047
0.000 -2.144 9.574
Pm Sn Te
6 2 12
Cartesian
3.673 7.407 6.943 Pm
7.468 5.115 8.770 Pm
2.869 2.727 5.692 Pm
6.664 4.940 3.929 Pm
7.468 0.260 2.678 Pm
3.673 2.553 0.851 Pm
0.139 0.289 7.636 Sn
3.934 7.379 1.985 Sn
1.355 5.536 6.016 Te
5.150 4.629 6.739 Te
1.716 2.485 8.709 Te
5.510 7.935 4.366 Te
1.424 -1.797 9.298 Te
4.739 0.531 7.442 Te
0.944 7.136 2.179 Te
5.219 9.465 0.323 Te
1.716 -0.267 5.255 Te
5.510 5.183 0.912 Te
1.355 3.038 2.882 Te
5.150 2.131 3.605 Te
```

Output
**Space-group type**: No. 36
**Raw formation energy**: -1083.8 meV/atom
**DFT total energy**: -4.794 eV per atom



Record 8
Density functional theory data (PBE) for a relaxed structure of Pm6Sn2Te.

Cell and atoms, written as POSCAR:
```
Pm6Sn2Te
1.0
-1.708 4.046 -0.285
-2.966 -0.690 7.993
7.809 3.197 -1.403
Pm Sn Te
6 2 1
Cartesian
-2.617 1.613 4.608 Pm
1.111 3.040 2.531 Pm
3.787 3.923 -0.976 Pm
-0.791 -0.184 2.131 Pm
3.553 1.839 4.833 Pm
-0.885 0.162 7.618 Pm
4.217 1.901 1.729 Sn
0.626 0.606 4.861 Sn
-0.854 2.023 -0.142 Te
```

Output
**Space-group type**: No. 189
**Raw formation energy**: -683.7 meV/atom
**DFT total energy**: -5.089 eV per atom



Record 9
Density functional theory data (PBE) for a relaxed structure of PmSnTe3.

Cell and atoms, written as POSCAR:
```
PmSnTe3
1.0
-4.952 1.673 -0.322
-2.058 -6.792 -3.644
0.703 -4.558 8.099
Pm Sn Te
2 2 6
Cartesian
-2.626 -7.366 2.113 Pm
-3.681 -2.311 2.021 Pm
-4.572 -4.183 6.012 Sn
-1.735 -5.495 -1.878 Sn
-5.693 -8.370 1.488 Te
-1.610 -4.597 0.882 Te
-3.051 -0.988 -0.802 Te
-0.614 -1.308 2.646 Te
-4.697 -5.081 3.252 Te
-3.256 -8.689 4.936 Te
```

Output
**Space-group type**: No. 63
**Raw formation energy**: -717.2 meV/atom
**Distance to the lowest polymorph of the same formula**: 24 kJ/mol of formula units
**DFT total energy**: -4.353 eV per atom



Record 10
Density functional theory data (PBE) for a relaxed structure of Pm2SnTe.

Cell and atoms, written as POSCAR:
```
Pm2SnTe
1.0
4.440 0.000 0.000
2.220 3.845 0.000
2.220 1.282 7.699
Pm Sn Te
2 1 1
Cartesian
2.220 1.282 5.904 Pm
2.220 1.282 1.783 Pm
6.660 3.845 7.674 Sn
4.440 2.564 3.887 Te
```

Output
**Space-group type**: No. 160
**Raw formation energy**: -1026.8 meV/atom
**Distance to the lowest polymorph of the same formula**: 34 kJ/mol of formula units
**DFT total energy**: -5.188 eV per atom



Record 11
Density functional theory data (PBE) for a relaxed structure of Pm6Sn5Te.

Cell and atoms, written as POSCAR:
```
Pm6Sn5Te
1.0
-2.721 -2.147 7.005
3.022 -6.857 1.955
6.686 -0.302 3.946
Pm Sn Te
6 5 1
Cartesian
0.425 -2.283 6.725 Pm
3.303 -4.650 4.201 Pm
0.083 -2.236 2.210 Pm
0.217 -6.768 6.750 Pm
3.683 -4.656 8.706 Pm
6.561 -7.023 6.181 Pm
3.623 -2.404 6.473 Sn
3.235 -2.387 1.966 Sn
0.150 -4.502 4.480 Sn
6.473 -4.772 3.935 Sn
3.363 -6.902 6.434 Sn
0.000 0.000 0.000 Te
```

Output
**Space-group type**: No. 12
**Raw formation energy**: -759.5 meV/atom
**DFT total energy**: -5.064 eV per atom



Record 12
Density functional theory data (PBE) for a relaxed structure of PmSn2Te3.

Cell and atoms, written as POSCAR:
```
PmSn2Te3
1.0
4.250 0.000 0.000
0.000 8.200 0.000
0.000 0.000 10.637
Pm Sn Te
2 4 6
Cartesian
0.000 8.080 9.486 Pm
0.000 3.980 1.151 Pm
0.000 7.632 2.351 Sn
2.125 0.727 4.614 Sn
0.000 3.532 8.286 Sn
2.125 4.827 6.023 Sn
2.125 1.482 0.750 Te
2.125 1.406 7.626 Te
0.000 2.823 4.231 Te
2.125 5.582 9.887 Te
2.125 5.505 3.012 Te
0.000 6.923 6.407 Te
```

Output
**Space-group type**: No. 26
**Raw formation energy**: -642.9 meV/atom
**DFT total energy**: -4.340 eV per atom